# K2ScCu (PBE, optimized geometry)
data_K2ScCu
_chemical_formula_sum 'K4 Sc2 Cu2'
_space_group_name_H-M_alt 'I m m 2'
_space_group_IT_number 44
_cell_length_a 3.530
_cell_length_b 6.433
_cell_length_c 13.163
_cell_angle_alpha 90.00
_cell_angle_beta 90.00
_cell_angle_gamma 90.00
loop_
_space_group_symop_operation_xyz
'x,y,z'
'-x,-y,z'
'-x,y,z'
'x,-y,z'
'x+1/2,y+1/2,z+1/2'
'-x+1/2,-y+1/2,z+1/2'
'-x+1/2,y+1/2,z+1/2'
'x+1/2,-y+1/2,z+1/2'
loop_
_atom_site_label
_atom_site_type_symbol
_atom_site_fract_x
_atom_site_fract_y
_atom_site_fract_z
K1 K 0.000 0.000 0.000
K2 K 0.000 0.500 0.189
Sc1 Sc 0.000 0.500 0.822
Cu1 Cu 0.000 0.000 0.466
# DFT total energy, eV per cell: -21.46
# Energy of formation, meV per atom: 473
# N(E_F), states/eV/f.u.: 3.625
# Polymorph energy (0 for the lowest one), meV/atom: 218.9



# Cs11K3 (PBE, optimized geometry)
data_Cs11K3
_chemical_formula_sum 'Cs22 K6'
_space_group_name_H-M_alt 'I m m m'
_space_group_IT_number 71
_space_group_name_Hall '-I 2 2'
_cell_length_a 8.368
_cell_length_b 15.322
_cell_length_c 23.611
_cell_angle_alpha 90.00
_cell_angle_beta 90.00
_cell_angle_gamma 90.00
loop_
_atom_site_label
_atom_site_type_symbol
_atom_site_fract_x
_atom_site_fract_y
_atom_site_fract_z
Cs1 Cs 0.000 0.000 0.000
Cs2 Cs 0.000 0.158 0.288
Cs3 Cs 0.000 0.331 0.101
Cs4 Cs 0.000 0.500 0.332
K1 K 0.000 0.000 0.500
K2 K 0.000 0.300 0.500
# DFT total energy, eV per cell: -24.70
# Energy of formation, meV per atom: 24
# N(E_F), states/eV/f.u.: 15.467



# ZrAl2Cu (PBE, optimized geometry)
data_ZrAl2Cu
_chemical_formula_sum 'Zr4 Al8 Cu4'
_space_group_name_H-M_alt 'P n m a'
_space_group_IT_number 62
_cell_length_a 7.293
_cell_length_b 6.796
_cell_length_c 5.363
_cell_angle_alpha 90.00
_cell_angle_beta 90.00
_cell_angle_gamma 90.00
loop_
_space_group_symop_operation_xyz
'x,y,z'
'-x,-y,-z'
'-x+1/2,-y,z+1/2'
'x+1/2,y,-z+1/2'
'x+1/2,-y+1/2,-z+1/2'
'-x+1/2,y+1/2,z+1/2'
'-x,y+1/2,-z'
'x,-y+1/2,z'
loop_
_atom_site_label
_atom_site_type_symbol
_atom_site_fract_x
_atom_site_fract_y
_atom_site_fract_z
Zr1 Zr 0.023 0.250 0.117
Al1 Al 0.189 0.053 0.609
Cu1 Cu 0.100 0.750 0.382
# DFT total energy, eV per cell: -86.89
# Energy of formation, meV per atom: -398
# N(E_F), states/eV/f.u.: 2.899



# TlTcPt4 (PBE, optimized geometry)
data_TlTcPt4
_chemical_formula_sum 'Tl4 Tc4 Pt16'
_space_group_name_H-M_alt 'F -4 3 m'
_space_group_IT_number 216
_space_group_name_Hall 'F -4 2 3'
_cell_length_a 7.572
_cell_length_b 7.572
_cell_length_c 7.572
_cell_angle_alpha 90.00
_cell_angle_beta 90.00
_cell_angle_gamma 90.00
loop_
_atom_site_label
_atom_site_type_symbol
_atom_site_fract_x
_atom_site_fract_y
_atom_site_fract_z
Tl1 Tl 0.000 0.000 0.000
Tc1 Tc 0.250 0.250 0.250
Pt1 Pt 0.125 0.125 0.625
# DFT total energy, eV per cell: -140.57
# Energy of formation, meV per atom: 292
# N(E_F), states/eV/f.u.: 5.807



# Ti2ZnGa (PBE, optimized geometry)
data_Ti2ZnGa
_chemical_formula_sum 'Ti2 Zn1 Ga1'
_space_group_name_H-M_alt 'P 4/m m m'
_space_group_IT_number 123
_space_group_name_Hall '-P 4 2'
_cell_length_a 2.823
_cell_length_b 2.823
_cell_length_c 7.825
_cell_angle_alpha 90.00
_cell_angle_beta 90.00
_cell_angle_gamma 90.00
loop_
_atom_site_label
_atom_site_type_symbol
_atom_site_fract_x
_atom_site_fract_y
_atom_site_fract_z
Ti1 Ti 0.000 0.000 0.249
Zn1 Zn 0.500 0.500 0.500
Ga1 Ga 0.500 0.500 0.000
# DFT total energy, eV per cell: -21.43
# Energy of formation, meV per atom: -335
# N(E_F), states/eV/f.u.: 4.226



# LiPrSn2 (PBE, optimized geometry)
data_LiPrSn2
_chemical_formula_sum 'Li4 Pr4 Sn8'
_space_group_name_H-M_alt 'P n m a'
_space_group_IT_number 62
_cell_length_a 8.122
_cell_length_b 4.413
_cell_length_c 11.475
_cell_angle_alpha 90.00
_cell_angle_beta 90.00
_cell_angle_gamma 90.00
loop_
_space_group_symop_operation_xyz
'x,y,z'
'-x,-y,-z'
'-x+1/2,-y,z+1/2'
'x+1/2,y,-z+1/2'
'x+1/2,-y+1/2,-z+1/2'
'-x+1/2,y+1/2,z+1/2'
'-x,y+1/2,-z'
'x,-y+1/2,z'
loop_
_atom_site_label
_atom_site_type_symbol
_atom_site_fract_x
_atom_site_fract_y
_atom_site_fract_z
Li1 Li 0.019 0.250 0.111
Pr1 Pr 0.154 0.750 0.365
Sn1 Sn 0.138 0.750 0.686
Sn2 Sn 0.214 0.750 0.061
# DFT total energy, eV per cell: -68.15
# Energy of formation, meV per atom: -585
# N(E_F), states/eV/f.u.: 1.101
# Polymorph energy (0 for the lowest one), meV/atom: 0.0



# LiEu3O4 (PBE, optimized geometry)
data_LiEu3O4
_chemical_formula_sum 'Li4 Eu12 O16'
_space_group_name_H-M_alt 'P n m a'
_space_group_IT_number 62
_cell_length_a 11.453
_cell_length_b 3.468
_cell_length_c 11.743
_cell_angle_alpha 90.00
_cell_angle_beta 90.00
_cell_angle_gamma 90.00
loop_
_space_group_symop_operation_xyz
'x,y,z'
'-x,-y,-z'
'-x+1/2,-y,z+1/2'
'x+1/2,y,-z+1/2'
'x+1/2,-y+1/2,-z+1/2'
'-x+1/2,y+1/2,z+1/2'
'-x,y+1/2,-z'
'x,-y+1/2,z'
loop_
_atom_site_label
_atom_site_type_symbol
_atom_site_fract_x
_atom_site_fract_y
_atom_site_fract_z
Li1 Li 0.152 0.250 0.098
Eu1 Eu 0.102 0.750 0.892
Eu2 Eu 0.130 0.250 0.574
Eu3 Eu 0.142 0.750 0.298
O1 O 0.022 0.250 0.386
O2 O 0.052 0.750 0.108
O3 O 0.230 0.750 0.721
O4 O 0.240 0.250 0.963
# DFT total energy, eV per cell: -296.39
# Formation energy (no corrections), eV per atom: -2.69
# N(E_F), states/eV/f.u.: 21.296



# YAlTl2 (PBE, optimized geometry)
data_YAlTl2
_chemical_formula_sum 'Y1 Al1 Tl2'
_space_group_name_H-M_alt 'P 1 2/m 1'
_space_group_IT_number 10
_cell_length_a 3.518
_cell_length_b 5.211
_cell_length_c 5.691
_cell_angle_alpha 90.00
_cell_angle_beta 93.59
_cell_angle_gamma 90.00
loop_
_space_group_symop_operation_xyz
'x,y,z'
'-x,-y,-z'
'-x,y,-z'
'x,-y,z'
loop_
_atom_site_label
_atom_site_type_symbol
_atom_site_fract_x
_atom_site_fract_y
_atom_site_fract_z
Y1 Y 0.000 0.000 0.000
Al1 Al 0.500 0.000 0.500
Tl1 Tl 0.314 0.500 0.742
# DFT total energy, eV per cell: -15.17
# Energy of formation, meV per atom: -59
# N(E_F), states/eV/f.u.: 2.488
# Polymorph energy (0 for the lowest one), meV/atom: 152.0



# Dy4Y10Ho (PBE, optimized geometry)
data_Dy4Y10Ho
_chemical_formula_sum 'Dy8 Y20 Ho2'
_space_group_name_H-M_alt 'I 4/m'
_space_group_IT_number 87
_space_group_name_Hall '-I 4'
_cell_length_a 12.165
_cell_length_b 12.165
_cell_length_c 7.689
_cell_angle_alpha 90.00
_cell_angle_beta 90.00
_cell_angle_gamma 90.00
loop_
_atom_site_label
_atom_site_type_symbol
_atom_site_fract_x
_atom_site_fract_y
_atom_site_fract_z
Dy1 Dy 0.100 0.299 0.000
Y1 Y 0.000 0.500 0.250
Y2 Y 0.099 0.800 0.250
Ho1 Ho 0.000 0.000 0.500
# DFT total energy, eV per cell: -153.22
# Energy of formation, meV per atom: 734
# N(E_F), states/eV/f.u.: 17.845



# Ba2Pb2O5 (PBE, optimized geometry)
data_Ba2Pb2O5
_chemical_formula_sum 'Ba2 Pb2 O5'
_space_group_name_H-M_alt 'P 4/m m m'
_space_group_IT_number 123
_space_group_name_Hall '-P 4 2'
_cell_length_a 4.543
_cell_length_b 4.543
_cell_length_c 8.192
_cell_angle_alpha 90.00
_cell_angle_beta 90.00
_cell_angle_gamma 90.00
loop_
_atom_site_label
_atom_site_type_symbol
_atom_site_fract_x
_atom_site_fract_y
_atom_site_fract_z
Ba1 Ba 0.000 0.000 0.000
Ba2 Ba 0.000 0.000 0.500
Pb1 Pb 0.500 0.500 0.237
O1 O 0.000 0.500 0.220
O2 O 0.500 0.500 0.500
# DFT total energy, eV per cell: -51.32
# Formation energy (no corrections), eV per atom: -1.70
# N(E_F), states/eV/f.u.: 1.883
# Polymorph energy (0 for the lowest one), meV/atom: 0.0